# 1
## ZnSi2P (meta-GGA SCAN)

Data for ZnSi2P at its PBEsol-relaxed geometry.

Cell lengths 3.184, 4.017, 5.337 Å; angles 112.11, 107.35, 90.00 degrees
Sites, in units of the cell vectors:
Si 0.711 0.211 0.422
P 0.290 0.790 0.580
Si 0.978 0.978 0.956
Zn 0.521 0.521 0.042

Output
Final energy in eV per atom: -10.484
Magnetic moment in μB per atom: 0.000
Raw formation energy in meV/atom: 502
N(E_F) in states/eV/f.u.: 1.45
SG: Imm2, No. 44

=====

# 2
## ZrZnSiP2 (meta-GGA SCAN)

Data for ZrZnSiP2 at its PBEsol-relaxed geometry.

Cell lengths 4.473, 4.539, 4.539 Å; angles 90.00, 90.00, 90.00 degrees
Sites, in units of the cell vectors:
P 0.000 0.000 0.500
Si 0.500 0.000 0.000
Zn 0.000 0.000 0.000
Zr 0.500 0.500 0.500
P 0.000 0.500 0.000

Output
Final energy in eV per atom: -14.320
Magnetic moment in μB per atom: 0.000
Raw formation energy in meV/atom: 686
N(E_F) in states/eV/f.u.: 2.99
SG: P4/mmm, No. 123

=====

# 3
## Zr2SiP (meta-GGA SCAN)

Data for Zr2SiP at its PBEsol-relaxed geometry.

Cell lengths 4.382, 4.718, 4.382 Å; angles 117.67, 90.00, 117.67 degrees
Sites, in units of the cell vectors:
Zr 0.250 0.500 0.750
Zr 0.750 0.500 0.250
Si 0.000 0.000 0.000
P 0.500 0.000 0.500

Output
Final energy in eV per atom: -21.064
Magnetic moment in μB per atom: 0.000
Raw formation energy in meV/atom: -611
N(E_F) in states/eV/f.u.: 2.87
SG: I4/mmm, No. 139
Energy above the most stable polymorph in this dataset in meV/atom: 163

=====

> Look up the raw formation energy of the third one.

-611 meV/atom